Material: Ce2YAuC
Method: DFT, PBE
State: relaxed

Lattice parameters (Å, degrees): 4.8859 4.8859 4.8913 90.00 90.00 90.00
With the nearest neighbours (Å) after each atom.
Fractional coordinates of all 5 atoms:
Ce 0.0000 0.5000 0.0000  2 C 2.44
Ce 0.5000 0.0000 0.0000  2 C 2.44
Y 0.0000 0.0000 0.5000  2 C 2.45
Au 0.5000 0.5000 0.5000  4 Y 3.45, 8 Ce 3.46
C 0.0000 0.0000 0.0000  4 Ce 2.44, 2 Y 2.45

- energy of formation from the pure elements (meV/atom) = -308.2
- Fermi-level density of states (states/eV/cell) = 10.247

Material: AuC3Cl
Method: DFT, PBE
State: relaxed

Lattice parameters (Å, degrees): 3.8753 3.8753 3.8753 90.00 90.00 90.00
With the nearest neighbours (Å) after each atom.
Fractional coordinates of all 5 atoms:
Au 0.0000 0.0000 0.0000  12 C 2.74
C 0.0000 0.5000 0.5000  2 Cl 1.94
C 0.5000 0.0000 0.5000  2 Cl 1.94
C 0.5000 0.5000 0.0000  2 Cl 1.94
Cl 0.5000 0.5000 0.5000  6 C 1.94

- E_form (uncorrected) (eV per formula unit) = 17.29
- Fermi-level density of states (states/eV/cell) = 0.418

Material: AuC3Cl
Method: DFT, PBE
State: relaxed

Lattice parameters (Å, degrees): 4.2320 4.2320 4.2320 90.00 90.00 90.00
With the nearest neighbours (Å) after each atom.
Fractional coordinates of all 5 atoms:
Au 0.0000 0.0000 0.0000  6 C 2.12
C 0.0000 0.0000 0.5000  2 Au 2.12
C 0.0000 0.5000 0.0000  2 Au 2.12
C 0.5000 0.0000 0.0000  2 Au 2.12
Cl 0.5000 0.5000 0.5000  12 C 2.99

- E_form (uncorrected) (eV per formula unit) = 15.77
- Fermi-level density of states (states/eV/cell) = 4.022

Material: AuCCl2
Method: DFT, PBE
State: relaxed

Lattice parameters (Å, degrees): 10.5402 10.5402 10.5402 16.93 16.93 16.93
With the nearest neighbours (Å) after each atom.
Fractional coordinates of all 4 atoms:
Au 0.0000 0.0000 0.0000  6 Au 3.10
C 0.5000 0.5000 0.5000  6 Cl 2.26
Cl 0.1226 0.1226 0.1226  3 C 2.26
Cl 0.8774 0.8774 0.8774  3 C 2.26

- E_form (uncorrected) (eV per formula unit) = 5.11
- Fermi-level density of states (states/eV/cell) = 0.357

Material: AuCCl2
Method: DFT, PBE
State: relaxed

Lattice parameters (Å, degrees): 7.2921 7.2921 7.2921 137.59 137.59 61.53
With the nearest neighbours (Å) after each atom.
Fractional coordinates of all 8 atoms:
Au 0.0000 0.0000 0.0000  4 Cl 2.65
Au 0.7500 0.2500 0.5000  4 Cl 2.65
C 0.2500 0.7500 0.5000  4 Cl 2.26
C 0.5000 0.5000 0.0000  4 Cl 2.26
Cl 0.1943 0.6250 0.0693  2 C 2.26
Cl 0.3750 0.4443 0.5693  2 C 2.26
Cl 0.5557 0.1250 0.9307  2 C 2.26
Cl 0.8750 0.8057 0.4307  2 C 2.26

- E_form (uncorrected) (eV per formula unit) = 5.91
- Fermi-level density of states (states/eV/cell) = 2.079

Material: AuCCl2
Method: DFT, PBE
State: relaxed

Lattice parameters (Å, degrees): 4.6328 4.6328 4.6328 60.00 60.00 60.00
With the nearest neighbours (Å) after each atom.
Fractional coordinates of all 4 atoms:
Au 0.0000 0.0000 0.0000  8 Cl 2.84
C 0.5000 0.5000 0.5000  8 Cl 2.84
Cl 0.2500 0.2500 0.2500  4 C 2.84, 4 Au 2.84
Cl 0.7500 0.7500 0.7500  4 C 2.84, 4 Au 2.84

- E_form (uncorrected) (eV per formula unit) = 7.19
- Fermi-level density of states (states/eV/cell) = 2.920

Material: AuCCl2
Method: DFT, PBE
State: relaxed

Lattice parameters (Å, degrees): 9.7142 9.7142 9.7142 17.77 17.77 17.77
With the nearest neighbours (Å) after each atom.
Fractional coordinates of all 4 atoms:
Au 0.0000 0.0000 0.0000  6 Au 3.00
C 0.5000 0.5000 0.5000  2 Cl 1.59
Cl 0.4445 0.4445 0.4445  1 C 1.59
Cl 0.5555 0.5555 0.5555  1 C 1.59

- E_form (uncorrected) (eV per formula unit) = 4.62
- Fermi-level density of states (states/eV/cell) = 1.129

Material: CoAuCCl2
Method: DFT, PBE
State: relaxed

Lattice parameters (Å, degrees): 5.0187 5.0187 3.6160 90.00 90.00 90.00
With the nearest neighbours (Å) after each atom.
Fractional coordinates of all 5 atoms:
Co 0.0000 0.0000 0.0000  2 C 1.81
Au 0.5000 0.5000 0.0000  8 Cl 3.09
C 0.0000 0.0000 0.5000  2 Co 1.81
Cl 0.0000 0.5000 0.5000  2 C 2.51
Cl 0.5000 0.0000 0.5000  2 C 2.51

- E_form (uncorrected) (eV per formula unit) = 5.34
- Fermi-level density of states (states/eV/cell) = 2.054

Material: HAu2CCl
Method: DFT, PBE
State: relaxed

Lattice parameters (Å, degrees): 4.1573 4.1573 5.2093 90.00 90.00 90.00
With the nearest neighbours (Å) after each atom.
Fractional coordinates of all 5 atoms:
H 0.0000 0.0000 0.0000  4 Cl 2.94
Au 0.0000 0.5000 0.5000  2 C 2.08
Au 0.5000 0.0000 0.5000  2 C 2.08
C 0.5000 0.5000 0.5000  4 Au 2.08
Cl 0.5000 0.5000 0.0000  2 C 2.60

- final energy (eV/atom) = -3.03
- Fermi-level density of states (states/eV/cell) = 3.966

Material: H3AuC2NCl
Method: DFT, PBE
State: relaxed

Lattice parameters (Å, degrees): 4.7739 6.5039 8.9066 90.00 94.73 90.00
With the nearest neighbours (Å) after each atom.
Fractional coordinates of all 16 atoms:
H 0.0935 0.2500 0.4610  1 C 1.10
H 0.1977 0.6114 0.6323  1 C 1.10
H 0.1977 0.8886 0.6323  1 C 1.10
H 0.8023 0.1114 0.3677  1 C 1.10
H 0.8023 0.3886 0.3677  1 C 1.10
H 0.9065 0.7500 0.5390  1 C 1.10
Au 0.3465 0.2500 0.9267  1 C 1.93
Au 0.6535 0.7500 0.0733  1 C 1.93
C 0.0657 0.7500 0.6355  3 H 1.10
C 0.1786 0.2500 0.1168  1 N 1.17
C 0.8214 0.7500 0.8832  1 N 1.17
C 0.9343 0.2500 0.3645  3 H 1.10
N 0.0693 0.2500 0.2291  1 C 1.17
N 0.9307 0.7500 0.7709  1 C 1.17
Cl 0.4799 0.7500 0.3053  1 Au 2.29
Cl 0.5201 0.2500 0.6947  1 Au 2.29

- final energy (eV/atom) = -5.32
- Fermi-level density of states (states/eV/cell) = 0.000

Material: H8AuC2S2N4Cl
Method: DFT, PBE
State: relaxed

Lattice parameters (Å, degrees): 8.7206 8.7206 8.2877 100.37 100.37 119.38
With the nearest neighbours (Å) after each atom.
Fractional coordinates of all 36 atoms:
H 0.0112 0.1905 0.0409  1 N 1.03
H 0.0295 0.5943 0.2407  1 N 1.02
H 0.1115 0.6204 0.9206  1 N 1.02
H 0.1424 0.1891 0.2280  1 N 1.02
H 0.1891 0.1424 0.7280  1 N 1.02
H 0.1905 0.0112 0.5409  1 N 1.03
H 0.3796 0.8885 0.5794  1 N 1.02
H 0.4057 0.9705 0.2593  1 N 1.02
H 0.5943 0.0295 0.7407  1 N 1.02
H 0.6204 0.1115 0.4206  1 N 1.02
H 0.8095 0.9888 0.4591  1 N 1.03
H 0.8109 0.8576 0.2720  1 N 1.02
H 0.8576 0.8109 0.7720  1 N 1.02
H 0.8885 0.3796 0.0794  1 N 1.02
H 0.9705 0.4057 0.7593  1 N 1.02
H 0.9888 0.8095 0.9591  1 N 1.03
Au 0.5000 0.5000 0.0000  2 S 2.31
Au 0.5000 0.5000 0.5000  2 S 2.31
C 0.1028 0.4049 0.2594  2 N 1.33-1.34
C 0.4049 0.1028 0.7594  2 N 1.33-1.34
C 0.5951 0.8972 0.2406  2 N 1.33-1.34
C 0.8972 0.5951 0.7406  2 N 1.33-1.34
S 0.2499 0.5332 0.4692  1 C 1.73
S 0.4668 0.7501 0.0308  1 C 1.73
S 0.5332 0.2499 0.9692  1 C 1.73
S 0.7501 0.4668 0.5308  1 C 1.73
N 0.9998 0.4635 0.1882  2 H 1.02
N 0.0002 0.5365 0.8118  2 H 1.02
N 0.0831 0.2497 0.1709  2 H 1.02-1.03
N 0.2497 0.0831 0.6709  2 H 1.02-1.03
N 0.4635 0.9998 0.6882  2 H 1.02
N 0.5365 0.0002 0.3118  2 H 1.02
N 0.7503 0.9169 0.3291  2 H 1.02-1.03
N 0.9169 0.7503 0.8291  2 H 1.02-1.03
Cl 0.1072 0.8928 0.2500  6 H 2.27-2.49
Cl 0.8928 0.1072 0.7500  6 H 2.27-2.49

- final energy (eV/atom) = -5.41
- Fermi-level density of states (states/eV/cell) = 0.000

Material: HfAuC2Cl
Method: DFT, PBE
State: relaxed

Lattice parameters (Å, degrees): 3.9808 3.9808 5.5491 90.00 90.00 90.00
With the nearest neighbours (Å) after each atom.
Fractional coordinates of all 5 atoms:
Hf 0.0000 0.0000 0.0000  4 Cl 2.81
Au 0.5000 0.5000 0.5000  4 C 1.99
C 0.0000 0.5000 0.5000  2 Au 1.99
C 0.5000 0.0000 0.5000  2 Au 1.99
Cl 0.5000 0.5000 0.0000  2 Au 2.77, 4 Hf 2.81

- E_form (uncorrected) (eV per formula unit) = 9.76
- Fermi-level density of states (states/eV/cell) = 2.687

Material: Au2CICl
Method: DFT, PBE
State: relaxed

Lattice parameters (Å, degrees): 4.1361 4.1361 8.2493 90.00 90.00 90.00
With the nearest neighbours (Å) after each atom.
Fractional coordinates of all 5 atoms:
Au 0.0000 0.5000 0.0000  2 C 2.07
Au 0.5000 0.0000 0.0000  2 C 2.07
C 0.0000 0.0000 0.0000  4 Au 2.07
I 0.0000 0.0000 0.5000  4 Cl 2.92
Cl 0.5000 0.5000 0.5000  4 I 2.92

- E_form (uncorrected) (eV per formula unit) = 4.09
- Fermi-level density of states (states/eV/cell) = 4.846

Material: K2AuCCl
Method: DFT, PBE
State: relaxed

Lattice parameters (Å, degrees): 6.3537 6.3537 4.9706 90.00 90.00 90.00
With the nearest neighbours (Å) after each atom.
Fractional coordinates of all 5 atoms:
K 0.0000 0.5000 0.0000  2 Au 3.18
K 0.5000 0.0000 0.0000  2 Au 3.18
Au 0.0000 0.0000 0.0000  2 Cl 2.49
C 0.5000 0.5000 0.5000  8 K 4.03, 4 Cl 4.49
Cl 0.0000 0.0000 0.5000  2 Au 2.49

- E_form (uncorrected) (eV per formula unit) = 3.71
- Fermi-level density of states (states/eV/cell) = 0.397

Material: La3AuCCl
Method: DFT, PBE
State: relaxed

Lattice parameters (Å, degrees): 7.3974 4.1952 9.9572 90.00 92.30 90.00
With the nearest neighbours (Å) after each atom.
Fractional coordinates of all 12 atoms:
La 0.0733 0.2500 0.1827  2 C 2.56
La 0.1679 0.7500 0.4924  1 C 2.56
La 0.3760 0.2500 0.7815  1 C 2.44
La 0.6240 0.7500 0.2185  1 C 2.44
La 0.8321 0.2500 0.5076  1 C 2.56
La 0.9267 0.7500 0.8173  2 C 2.56
Au 0.4279 0.2500 0.3923  6 La 3.04-3.29, 2 Au 3.15
Au 0.5721 0.7500 0.6077  6 La 3.04-3.29, 2 Au 3.15
C 0.0572 0.2500 0.7103  4 La 2.44-2.56
C 0.9428 0.7500 0.2897  4 La 2.44-2.56
Cl 0.2834 0.7500 0.9956  6 La 3.09-3.29
Cl 0.7166 0.2500 0.0044  6 La 3.09-3.29

- E_form (uncorrected) (eV per formula unit) = -4.99
- Fermi-level density of states (states/eV/cell) = 7.336

Material: MgAu2CCl
Method: DFT, PBE
State: relaxed

Lattice parameters (Å, degrees): 4.9755 4.9755 4.7111 90.00 90.00 90.00
With the nearest neighbours (Å) after each atom.
Fractional coordinates of all 5 atoms:
Mg 0.0000 0.0000 0.0000  2 Cl 2.36
Au 0.0000 0.5000 0.5000  2 Cl 2.49
Au 0.5000 0.0000 0.5000  2 Cl 2.49
C 0.5000 0.5000 0.0000  8 Au 3.43, 4 Mg 3.52
Cl 0.0000 0.0000 0.5000  2 Mg 2.36, 4 Au 2.49

- E_form (uncorrected) (eV per formula unit) = 8.64
- Fermi-level density of states (states/eV/cell) = 2.612

Material: NaAuCCl2
Method: DFT, PBE
State: relaxed

Lattice parameters (Å, degrees): 4.5762 4.5762 4.9531 90.00 90.00 90.00
With the nearest neighbours (Å) after each atom.
Fractional coordinates of all 5 atoms:
Na 0.0000 0.0000 0.0000  2 C 2.48
Au 0.5000 0.5000 0.0000  4 Na 3.24, 8 Cl 3.37
C 0.0000 0.0000 0.5000  4 Cl 2.29, 2 Na 2.48
Cl 0.0000 0.5000 0.5000  2 C 2.29
Cl 0.5000 0.0000 0.5000  2 C 2.29

- E_form (uncorrected) (eV per formula unit) = 4.72
- Fermi-level density of states (states/eV/cell) = 3.799

Material: P2AuCCl
Method: DFT, PBE
State: relaxed

Lattice parameters (Å, degrees): 4.8183 4.8183 5.0456 90.00 90.00 90.00
With the nearest neighbours (Å) after each atom.
Fractional coordinates of all 5 atoms:
P 0.0000 0.5000 0.0000  2 Au 2.41
P 0.5000 0.0000 0.0000  2 Au 2.41
Au 0.0000 0.0000 0.0000  4 P 2.41, 2 Cl 2.52
C 0.5000 0.5000 0.5000  4 Cl 3.41, 8 P 3.49
Cl 0.0000 0.0000 0.5000  2 Au 2.52

- E_form (uncorrected) (eV per formula unit) = 10.91
- Fermi-level density of states (states/eV/cell) = 4.121

Material: P2AuCCl
Method: DFT, PBE
State: relaxed

Lattice parameters (Å, degrees): 4.1705 4.1705 4.3412 90.00 90.00 90.00
With the nearest neighbours (Å) after each atom.
Fractional coordinates of all 5 atoms:
P 0.0000 0.5000 0.0000  2 C 2.09
P 0.5000 0.0000 0.0000  2 C 2.09
Au 0.0000 0.0000 0.5000  4 Cl 2.95, 8 P 3.01
C 0.5000 0.5000 0.0000  4 P 2.09, 2 Cl 2.17
Cl 0.5000 0.5000 0.5000  2 C 2.17

- E_form (uncorrected) (eV per formula unit) = 6.41
- Fermi-level density of states (states/eV/cell) = 1.705

Material: Pr4AuCCl2
Method: DFT, PBE
State: relaxed

Lattice parameters (Å, degrees): 7.2401 3.9850 7.4991 90.00 108.09 90.00
With the nearest neighbours (Å) after each atom.
Fractional coordinates of all 8 atoms:
Pr 0.2071 0.0000 0.2065  2 C 2.68, 1 Cl 2.99
Pr 0.2219 0.5000 0.7843  1 C 2.61
Pr 0.7781 0.5000 0.2157  1 C 2.61
Pr 0.7929 0.0000 0.7935  2 C 2.68, 1 Cl 2.99
Au 0.0000 0.0000 0.5000  6 Pr 2.99-3.02
C 0.0000 0.5000 0.0000  6 Pr 2.61-2.68
Cl 0.5000 0.0000 0.0000  6 Pr 2.94-2.99
Cl 0.5000 0.5000 0.5000  6 Pr 3.23-3.36

- E_form (uncorrected) (eV per formula unit) = -7.65
- Fermi-level density of states (states/eV/cell) = 5.160